The following is a PBE calculation of an optimized crystal structure of K2LaCr, from Alexandria.

Cell lengths 3.6276, 3.6276, 13.4366 Å; angles 90.00, 90.00, 115.11 degrees
Closest atoms and distances in Å follow each position.
Fractional positions:
Cr1 0.5000 0.5000 0.7500  4 K 3.57, 6 Cr 3.63-3.89
K1 0.0000 0.0000 0.9731  2 Cr 3.57, 6 K 3.63-3.89
K2 0.0000 0.0000 0.5269  2 Cr 3.57, 6 K 3.63-3.89
La1 0.5000 0.5000 0.2500  6 La 3.63-3.89

Computed properties:
Distance to the lowest polymorph of the same formula = 295 meV per atom
SG = Cmmm
Electronic total energy = -3.349 eV/atom
ΔH_f (0 K) = 0.84 eV/atom

=====

The following is a PBE calculation of an optimized crystal structure of Ta2BeCd, from Alexandria.

Cell lengths 3.8204, 3.8204, 10.4271 Å; angles 79.44, 79.44, 90.00 degrees
Closest atoms and distances in Å follow each position.
Fractional positions:
Be1 0.5000 0.5000 0.0000  4 Cd 2.70, 4 Ta 2.85
Be2 0.2500 0.7500 0.5000  4 Cd 2.70, 4 Ta 2.85
Cd1 0.0000 0.0000 0.0000  4 Be 2.70, 4 Ta 2.87
Cd2 0.7500 0.2500 0.5000  4 Be 2.70, 4 Ta 2.87
Ta1 0.6177 0.1250 0.2500  4 Ta 2.66-2.74, 2 Be 2.85, 2 Cd 2.87
Ta2 0.1323 0.6250 0.2500  4 Ta 2.66-2.74, 2 Be 2.85, 2 Cd 2.87
Ta3 0.3750 0.3823 0.7500  4 Ta 2.66-2.74, 2 Be 2.85, 2 Cd 2.87
Ta4 0.8750 0.8677 0.7500  4 Ta 2.66-2.74, 2 Be 2.85, 2 Cd 2.87

Computed properties:
Distance to the lowest polymorph of the same formula = 753 meV per atom
SG = I-42d
Electronic total energy = -6.220 eV/atom
ΔH_f (0 K) = 0.87 eV/atom

=====

The following is a PBE calculation of an optimized crystal structure of Ag2SF, from Alexandria.

Cell lengths 3.0672, 4.4916, 4.4916 Å; angles 90.00, 90.00, 90.00 degrees
Closest atoms and distances in Å follow each position.
Fractional positions:
S1 0.5000 0.0000 0.0000  8 Ag 2.72
Ag1 0.0000 0.0000 0.5000  4 S 2.72, 4 F 2.72
Ag2 0.0000 0.5000 0.0000  4 S 2.72, 4 F 2.72
F1 0.5000 0.5000 0.5000  8 Ag 2.72

Computed properties:
Distance to the lowest polymorph of the same formula = 102 meV per atom
E_form (uncorrected) = -1.6 eV/f.u.
SG = P4/mmm
Electronic total energy = -3.328 eV/atom

=====

The following is a PBE calculation of an optimized crystal structure of SrErAs2, from Alexandria.

Cell lengths 4.3383, 4.3383, 7.4309 Å; angles 73.03, 73.03, 60.00 degrees
Closest atoms and distances in Å follow each position.
Fractional positions:
Sr1 0.6700 0.6700 0.9900  6 As 3.15-3.25
Er1 0.4974 0.4974 0.5077  6 As 2.90-2.95
As1 0.0947 0.0947 0.7160  3 Er 2.90, 1 As 3.01, 3 Sr 3.15
As2 0.2379 0.2379 0.2863  3 Er 2.95, 1 As 3.01, 3 Sr 3.25

Computed properties:
Distance to the lowest polymorph of the same formula = 99 meV per atom
SG = R3m
Electronic total energy = -4.960 eV/atom
ΔH_f (0 K) = -1.07 eV/atom

=====

The following is a PBE calculation of an optimized crystal structure of Tl4Mo3, from Alexandria.

Cell lengths 5.5748, 5.5748, 5.4498 Å; angles 90.00, 90.00, 120.00 degrees
Closest atoms and distances in Å follow each position.
Fractional positions:
Tl1 0.0000 0.0000 0.2510  2 Tl 2.71-2.74
Tl2 0.0000 0.0000 0.7490  2 Tl 2.71-2.74
Tl3 0.6667 0.3333 0.5000  6 Mo 3.16, 9 Tl 3.22-3.49
Tl4 0.3333 0.6667 0.5000  6 Mo 3.16, 9 Tl 3.22-3.49
Mo1 0.0000 0.5000 0.0000  4 Mo 2.79, 4 Tl 3.10
Mo2 0.5000 0.5000 0.0000  4 Mo 2.79, 4 Tl 3.10
Mo3 0.5000 0.0000 0.0000  4 Mo 2.79, 4 Tl 3.10

Computed properties:
Distance to the lowest polymorph of the same formula = 45 meV per atom
SG = P6/mmm
Electronic total energy = -5.305 eV/atom
ΔH_f (0 K) = 0.69 eV/atom

=====

The following is a PBE calculation of an optimized crystal structure of CsSnCl4, from Alexandria.

Cell lengths 6.9963, 9.0000, 7.6742 Å; angles 104.77, 90.00, 112.87 degrees
Closest atoms and distances in Å follow each position.
Fractional positions:
Cs1 0.2910 0.0000 0.2500  6 Cl 3.52-3.91
Cs2 0.7090 0.0000 0.7500  6 Cl 3.52-3.91
Sn1 0.5000 0.5000 0.0000  6 Cl 2.56-2.68
Sn2 0.0000 0.5000 0.5000  6 Cl 2.56-2.68
Cl1 0.3062 0.5796 0.2884  2 Sn 2.67-2.68
Cl2 0.7266 0.4204 0.2116  2 Sn 2.67-2.68
Cl3 0.6938 0.4204 0.7116  2 Sn 2.67-2.68
Cl4 0.2734 0.5796 0.7884  2 Sn 2.67-2.68
Cl5 0.0587 0.8103 0.5874  1 Sn 2.56
Cl6 0.2484 0.1897 0.9126  1 Sn 2.56
Cl7 0.9413 0.1897 0.4126  1 Sn 2.56
Cl8 0.7516 0.8103 0.0874  1 Sn 2.56

Computed properties:
E_form (uncorrected) = -7.7 eV/f.u.
SG = C2/c
Electronic total energy = -3.321 eV/atom

=====

The following is a PBE calculation of an optimized crystal structure of BaSr3Pd, from Alexandria.

Cell lengths 8.4928, 8.7238, 8.4933 Å; angles 74.29, 127.05, 105.70 degrees
Closest atoms and distances in Å follow each position.
Fractional positions:
Sr1 0.8082 0.1147 0.0087  2 Pd 3.07-3.08
Sr2 0.3104 0.3545 0.5066  2 Pd 3.07-3.08
Sr3 0.9001 0.4825 0.6075  1 Pd 3.03
Sr4 0.9090 0.9877 0.5984  1 Pd 3.03
Sr5 0.3979 0.7347 0.0965  2 Pd 3.08
Sr6 0.3859 0.2348 0.0842  2 Pd 3.05-3.06
Ba1 0.3192 0.8647 0.5185  1 Pd 3.11
Ba2 0.8199 0.6044 0.0176  1 Pd 3.11
Pd1 0.3562 0.0490 0.8076  5 Sr 3.03-3.08, 1 Ba 3.11
Pd2 0.1091 0.4202 0.0547  5 Sr 3.03-3.08, 1 Ba 3.11

Computed properties:
Distance to the lowest polymorph of the same formula = 11 meV per atom
SG = C2
Electronic total energy = -2.720 eV/atom
ΔH_f (0 K) = -0.29 eV/atom

=====

The following is a PBE calculation of an optimized crystal structure of Y5TlCo, from Alexandria.

Cell lengths 6.4963, 6.4963, 11.2975 Å; angles 72.80, 72.80, 63.32 degrees
Closest atoms and distances in Å follow each position.
Fractional positions:
Y1 0.9629 0.6005 0.1368  1 Co 2.67
Y2 0.2007 0.5605 0.5432  1 Co 2.51
Y3 0.6005 0.9629 0.6368  1 Co 2.67
Y4 0.9882 0.0118 0.2500  2 Co 2.83
Y5 0.4395 0.7993 0.9568  1 Co 2.51
Y6 0.5605 0.2007 0.0432  1 Co 2.51
Y7 0.0118 0.9882 0.7500  2 Co 2.83
Y8 0.3995 0.0371 0.3632  1 Co 2.67
Y9 0.7993 0.4395 0.4568  1 Co 2.51
Y10 0.0371 0.3995 0.8632  1 Co 2.67
Tl1 0.4725 0.5275 0.2500  8 Y 3.26-3.52
Tl2 0.5275 0.4725 0.7500  8 Y 3.26-3.52
Co1 0.0000 0.0000 0.0000  4 Y 2.51-2.67
Co2 0.0000 0.0000 0.5000  4 Y 2.51-2.67

Computed properties:
SG = C2/c
Electronic total energy = -6.038 eV/atom
ΔH_f (0 K) = -0.07 eV/atom

=====

The following is a PBE calculation of an optimized crystal structure of TmTlOs2O8, from Alexandria.

Cell lengths 5.9886, 5.9886, 7.7496 Å; angles 90.00, 90.00, 120.00 degrees
Closest atoms and distances in Å follow each position.
Fractional positions:
Tm1 0.0000 0.0000 0.5000  6 O 2.21
Tl1 0.0000 0.0000 0.0000  6 O 3.06
Os1 0.6667 0.3333 0.2466  4 O 1.77-1.82
Os2 0.3333 0.6667 0.7534  4 O 1.77-1.82
O1 0.3333 0.6667 0.9817  1 Os 1.77
O2 0.3361 0.1776 0.3251  1 Os 1.82
O3 0.8224 0.1584 0.3251  1 Os 1.82
O4 0.6667 0.3333 0.0183  1 Os 1.77
O5 0.1776 0.8416 0.6749  1 Os 1.82
O6 0.6639 0.8224 0.6749  1 Os 1.82
O7 0.1584 0.3361 0.6749  1 Os 1.82
O8 0.8416 0.6639 0.3251  1 Os 1.82

Computed properties:
E_form (uncorrected) = -16.7 eV/f.u.
SG = P-3
Electronic total energy = -7.140 eV/atom

=====

The following is a PBE calculation of an optimized crystal structure of Na2MnP2, from Alexandria.

Cell lengths 6.0538, 6.0538, 4.8148 Å; angles 90.00, 90.00, 90.00 degrees
Closest atoms and distances in Å follow each position.
Fractional positions:
P1 0.3646 0.8646 0.0000  1 P 2.32, 2 Mn 2.35
P2 0.8646 0.6354 0.0000  1 P 2.32, 2 Mn 2.35
P3 0.6354 0.1354 0.0000  1 P 2.32, 2 Mn 2.35
P4 0.1354 0.3646 0.0000  1 P 2.32, 2 Mn 2.35
Mn1 0.0000 0.0000 0.0000  4 P 2.35
Mn2 0.5000 0.5000 0.0000  4 P 2.35
Na1 0.1755 0.6755 0.5000  6 P 2.90-3.07, 5 Na 3.00-3.16
Na2 0.6755 0.8245 0.5000  6 P 2.90-3.07, 5 Na 3.00-3.16
Na3 0.8245 0.3245 0.5000  6 P 2.90-3.07, 5 Na 3.00-3.16
Na4 0.3245 0.1755 0.5000  6 P 2.90-3.07, 5 Na 3.00-3.16

Computed properties:
Distance to the lowest polymorph of the same formula = 0 meV per atom
SG = P4/mbm
Electronic total energy = -4.808 eV/atom
ΔH_f (0 K) = -0.28 eV/atom

=====

The following is a PBE calculation of an optimized crystal structure of CeNb2C, from Alexandria.

Cell lengths 3.1353, 3.1353, 8.5227 Å; angles 79.40, 79.40, 60.00 degrees
Closest atoms and distances in Å follow each position.
Fractional positions:
Nb1 0.1180 0.1180 0.6460  3 C 2.18
Nb2 0.8820 0.8820 0.3540  3 C 2.18
C1 0.5000 0.5000 0.5000  6 Nb 2.18
Ce1 0.0000 0.0000 0.0000  2 Nb 2.95, 6 Ce 3.14

Computed properties:
Distance to the lowest polymorph of the same formula = 0 meV per atom
SG = R-3m
Electronic total energy = -8.862 eV/atom
ΔH_f (0 K) = -0.04 eV/atom

=====

The following is a PBE calculation of an optimized crystal structure of AcScAlSn, from Alexandria.

Cell lengths 5.3662, 5.3662, 5.3662 Å; angles 60.00, 60.00, 60.00 degrees
Closest atoms and distances in Å follow each position.
Fractional positions:
Sc1 0.0000 0.0000 0.0000  4 Al 3.29, 4 Sn 3.29
Ac1 0.5000 0.5000 0.5000  4 Sn 3.29, 4 Al 3.29
Sn1 0.2500 0.2500 0.2500  4 Ac 3.29, 4 Sc 3.29
Al1 0.7500 0.7500 0.7500  4 Sc 3.29, 4 Ac 3.29

Computed properties:
SG = F-43m
Electronic total energy = -4.851 eV/atom
ΔH_f (0 K) = -0.30 eV/atom

=====

The following is a PBE calculation of an optimized crystal structure of SbMo2Os, from Alexandria.

Cell lengths 8.8990, 8.8990, 8.8990 Å; angles 19.43, 19.43, 19.43 degrees
Closest atoms and distances in Å follow each position.
Fractional positions:
Mo1 0.9962 0.9962 0.9962  9 Mo 2.73-3.00, 3 Sb 2.87
Mo2 0.2492 0.2492 0.2492  3 Os 2.68, 3 Mo 2.73
Os1 0.5045 0.5045 0.5045  3 Mo 2.68, 3 Sb 2.88
Sb1 0.7501 0.7501 0.7501  3 Mo 2.87, 3 Os 2.88, 6 Sb 3.00

Computed properties:
E_form (uncorrected) = 1.8 eV/f.u.
SG = R3m
Electronic total energy = -8.798 eV/atom

=====

The following is a PBE calculation of an optimized crystal structure of Cs4Ac3GaO8, from Alexandria.

Cell lengths 7.3715, 8.0380, 7.7775 Å; angles 114.64, 118.29, 90.00 degrees
Closest atoms and distances in Å follow each position.
Fractional positions:
Cs1 0.5000 0.0000 0.0000  2 O 2.79
Cs2 0.5000 0.0000 0.5000  4 O 3.03-3.07
Cs3 0.0000 0.0000 0.0000  4 O 3.09
Cs4 0.0000 0.0000 0.5000  4 O 3.03-3.07
Ac1 0.5000 0.5000 0.0000  6 O 2.51-2.62
Ac2 0.5000 0.5000 0.5000  6 O 2.46-2.67
Ac3 0.0000 0.5000 0.5000  6 O 2.46-2.67
Ga1 0.0000 0.5000 0.0000  4 O 2.02
O1 0.1661 0.6391 0.9348  1 Ga 2.02
O2 0.2788 0.7216 0.5575  2 Ac 2.46
O3 0.2922 0.3262 0.5844  3 Ac 2.51-2.54
O4 0.7688 0.6391 0.9348  1 Ga 2.02
O5 0.2312 0.3609 0.0652  1 Ga 2.02
O6 0.7078 0.6738 0.4156  3 Ac 2.51-2.54
O7 0.7212 0.2784 0.4425  2 Ac 2.46
O8 0.8339 0.3609 0.0652  1 Ga 2.02

Computed properties:
E_form (uncorrected) = -34.3 eV/f.u.
SG = C2/m
Electronic total energy = -5.798 eV/atom

=====

The following is a PBE calculation of an optimized crystal structure of LaNbIn2W, from Alexandria.

Cell lengths 5.2976, 4.8294, 5.2976 Å; angles 90.00, 90.00, 90.00 degrees
Closest atoms and distances in Å follow each position.
Fractional positions:
Nb1 0.0000 0.5000 0.0000  2 W 2.41
In1 0.0000 0.0000 0.5000  2 W 2.65
In2 0.5000 0.0000 0.0000  2 W 2.65
W1 0.0000 0.0000 0.0000  2 Nb 2.41, 4 In 2.65
La1 0.5000 0.5000 0.5000  8 In 3.58, 4 Nb 3.75

Computed properties:
SG = P4/mmm
Electronic total energy = -6.193 eV/atom
ΔH_f (0 K) = 0.49 eV/atom

=====

The following is a PBE calculation of an optimized crystal structure of Hf4PbC, from Alexandria.

Cell lengths 3.2745, 5.1885, 7.8829 Å; angles 110.76, 90.00, 90.00 degrees
Closest atoms and distances in Å follow each position.
Fractional positions:
Hf1 0.0000 0.9228 0.2646  1 C 2.26
Hf2 0.5000 0.3076 0.0933  2 C 2.22
Hf3 0.5000 0.6924 0.9067  2 C 2.22
Hf4 0.0000 0.0772 0.7354  1 C 2.26
Pb1 0.5000 0.5000 0.5000  6 Hf 3.00-3.34, 2 Pb 3.27
C1 0.0000 0.0000 0.0000  6 Hf 2.22-2.26

Computed properties:
Distance to the lowest polymorph of the same formula = 0 meV per atom
SG = P2/m
Electronic total energy = -9.018 eV/atom
ΔH_f (0 K) = -0.23 eV/atom

=====

The following is a PBE calculation of an optimized crystal structure of AlVI2N, from Alexandria.

Cell lengths 5.7044, 5.7044, 3.5443 Å; angles 90.00, 90.00, 90.00 degrees
Closest atoms and distances in Å follow each position.
Fractional positions:
I1 0.0000 0.5000 0.0000  2 Al 2.85
I2 0.5000 0.0000 0.0000  2 Al 2.85
N1 0.0000 0.0000 0.5000  2 Al 1.77
Al1 0.0000 0.0000 0.0000  2 N 1.77
V1 0.5000 0.5000 0.5000  8 I 3.36, 2 V 3.54

Computed properties:
Distance to the lowest polymorph of the same formula = 341 meV per atom
E_form (uncorrected) = 2.1 eV/f.u.
SG = P4/mmm
Electronic total energy = -4.433 eV/atom

=====

The following is a PBE calculation of an optimized crystal structure of Th5FeTe3, from Alexandria.

Cell lengths 6.4155, 9.4700, 9.4700 Å; angles 120.00, 90.00, 90.00 degrees
Closest atoms and distances in Å follow each position.
Fractional positions:
Th1 0.0000 0.3333 0.6667  2 Th 3.21, 6 Te 3.33
Th2 0.5000 0.6667 0.3333  2 Th 3.21, 6 Te 3.33
Th3 0.0000 0.6667 0.3333  2 Th 3.21, 6 Te 3.33
Th4 0.5000 0.3333 0.6667  2 Th 3.21, 6 Te 3.33
Th5 0.7500 0.7611 0.0000  2 Fe 2.77
Th6 0.7500 0.2389 0.2389  2 Fe 2.77
Th7 0.7500 0.0000 0.7611  2 Fe 2.77
Th8 0.2500 0.2389 0.0000  2 Fe 2.77
Th9 0.2500 0.7611 0.7611  2 Fe 2.77
Th10 0.2500 0.0000 0.2389  2 Fe 2.77
Fe1 0.0000 0.0000 0.0000  6 Th 2.77
Fe2 0.5000 0.0000 0.0000  6 Th 2.77
Te1 0.7500 0.3935 0.0000  9 Th 3.25-3.53
Te2 0.7500 0.6065 0.6065  9 Th 3.25-3.53
Te3 0.7500 0.0000 0.3935  9 Th 3.25-3.53
Te4 0.2500 0.6065 0.0000  9 Th 3.25-3.53
Te5 0.2500 0.3935 0.3935  9 Th 3.25-3.53
Te6 0.2500 0.0000 0.6065  9 Th 3.25-3.53

Computed properties:
E_form (uncorrected) = -6.7 eV/f.u.
SG = P6_3/mcm
Electronic total energy = -6.849 eV/atom

=====

The following is a PBE calculation of an optimized crystal structure of Cs3TmBr6, from Alexandria.

Cell lengths 8.4311, 8.8983, 12.0440 Å; angles 90.00, 89.47, 90.00 degrees
Closest atoms and distances in Å follow each position.
Fractional positions:
Cs1 0.5250 0.9316 0.7530  6 Br 3.66-3.94
Cs2 0.5000 0.5000 0.0000  6 Br 3.57-3.65
Cs3 0.4750 0.0684 0.2470  6 Br 3.66-3.94
Cs4 0.0250 0.5684 0.2530  6 Br 3.66-3.94
Cs5 0.0000 0.0000 0.5000  6 Br 3.57-3.65
Cs6 0.9750 0.4316 0.7470  6 Br 3.66-3.94
Tm1 0.5000 0.5000 0.5000  6 Br 2.78-2.80
Tm2 0.0000 0.0000 0.0000  6 Br 2.78-2.80
Br1 0.7333 0.1714 0.9525  1 Tm 2.78
Br2 0.6612 0.2402 0.5644  1 Tm 2.80
Br3 0.6092 0.4581 0.2838  1 Tm 2.78
Br4 0.3908 0.5419 0.7162  1 Tm 2.78
Br5 0.3388 0.7598 0.4356  1 Tm 2.80
Br6 0.2667 0.8286 0.0475  1 Tm 2.78
Br7 0.2333 0.3286 0.4525  1 Tm 2.78
Br8 0.1612 0.2598 0.0644  1 Tm 2.80
Br9 0.1092 0.0419 0.7838  1 Tm 2.78
Br10 0.8908 0.9581 0.2162  1 Tm 2.78
Br11 0.8388 0.7402 0.9356  1 Tm 2.80
Br12 0.7667 0.6714 0.5475  1 Tm 2.78

Computed properties:
E_form (uncorrected) = -18.7 eV/f.u.
SG = P2_1/c
Electronic total energy = -3.577 eV/atom

=====

The following is a PBE calculation of an optimized crystal structure of K2SrBe2Se4, from Alexandria.

Cell lengths 4.0377, 8.4920, 8.2910 Å; angles 115.50, 104.09, 90.00 degrees
Closest atoms and distances in Å follow each position.
Fractional positions:
K1 0.1218 0.5669 0.2437  6 Se 3.35-3.42, 1 K 3.56, 2 Be 3.68
K2 0.8782 0.4331 0.7563  6 Se 3.35-3.42, 1 K 3.56, 2 Be 3.68
Sr1 0.0000 0.0000 0.0000  6 Se 3.04-3.13
Be1 0.6740 0.9620 0.3480  4 Se 2.20-2.43
Be2 0.3260 0.0380 0.6520  4 Se 2.20-2.43
Se1 0.2156 0.1393 0.4312  3 Be 2.29-2.43
Se2 0.7844 0.8607 0.5688  3 Be 2.29-2.43
Se3 0.5287 0.7606 0.0574  1 Be 2.20
Se4 0.4713 0.2394 0.9426  1 Be 2.20

Computed properties:
E_form (uncorrected) = -10.6 eV/f.u.
SG = C2/m
Electronic total energy = -3.982 eV/atom